Entry 1:
# Na3RhI (PBE, optimized geometry)
data_Na3RhI
_cell_length_a 5.587
_cell_length_b 5.587
_cell_length_c 5.587
_cell_angle_alpha 90.00
_cell_angle_beta 90.00
_cell_angle_gamma 90.00
_symmetry_space_group_name_H-M 'P m -3 m'
_symmetry_Int_Tables_number 221
_symmetry_space_group_name_Hall '-P 4 2 3'
loop_
_atom_site_label
_atom_site_fract_x
_atom_site_fract_y
_atom_site_fract_z
_atom_site_occupancy
Na1 0.000 0.000 0.500 1
Rh1 0.000 0.000 0.000 1
I1 0.500 0.500 0.500 1
# E above lowest polymorph = 0.000 eV per atom
# Formation energy (no corrections) = 136 meV/atom
# E = -2.44 eV/atom
# V = 174.4 Å³ per cell

***

Entry 2:
# MnVTe2 (PBE, optimized geometry)
data_MnVTe2
_cell_length_a 5.506
_cell_length_b 4.322
_cell_length_c 7.770
_cell_angle_alpha 90.00
_cell_angle_beta 90.00
_cell_angle_gamma 90.00
_symmetry_space_group_name_H-M 'P m m a'
_symmetry_Int_Tables_number 51
loop_
_symmetry_equiv_pos_as_xyz
'x,y,z'
'-x,-y,-z'
'-x+1/2,-y,z'
'x+1/2,y,-z'
'x+1/2,-y,-z'
'-x+1/2,y,z'
'-x,y,-z'
'x,-y,z'
loop_
_atom_site_label
_atom_site_fract_x
_atom_site_fract_y
_atom_site_fract_z
_atom_site_occupancy
Mn1 0.250 0.000 0.141 1
V1 0.000 0.500 0.000 1
Te1 0.250 0.000 0.808 1
Te2 0.250 0.500 0.325 1
# E above lowest polymorph = 0.000 eV per atom
# Formation energy (no corrections) = -171 meV/atom
# E = -6.31 eV/atom
# V = 184.9 Å³ per cell

***

Entry 3:
# LaTaAu2 (PBE, optimized geometry)
data_LaTaAu2
_cell_length_a 3.4942
_cell_length_b 3.4942
_cell_length_c 26.5758
_cell_angle_alpha 90.00
_cell_angle_beta 90.00
_cell_angle_gamma 120.00
_symmetry_space_group_name_H-M 'R -3 m'
_symmetry_Int_Tables_number 166
_symmetry_space_group_name_Hall '-R 3 2"'
loop_
_atom_site_label
_atom_site_fract_x
_atom_site_fract_y
_atom_site_fract_z
_atom_site_occupancy
La1 0.0000 0.0000 0.0000 1
Ta1 0.0000 0.0000 0.5000 1
Au1 0.0000 0.0000 0.2359 1
# E above lowest polymorph = 0.282 eV per atom
# DFT formation energy = 0.078 eV/atom
# E = -5.76 eV/atom
# V = 281.0 Å³ per cell

***

Question: The lowest E belongs to which entry?
Answer: MnVTe2